# KRb14Pt, optimized geometry, DFT PBE
data_KRb14Pt
_chemical_formula_sum 'K1 Rb14 Pt1'
_cell_length_a 10.0054
_cell_length_b 10.0054
_cell_length_c 13.2450
_cell_angle_alpha 90.00
_cell_angle_beta 90.00
_cell_angle_gamma 103.25
_space_group_name_H-M_alt 'P 1'
_space_group_IT_number 1
_space_group_name_Hall 'P 1'
loop_
_atom_site_label
_atom_site_type_symbol
_atom_site_fract_x
_atom_site_fract_y
_atom_site_fract_z
Rb1 Rb 0.3369 0.6631 0.2399
K1 K 0.1304 0.8696 0.5000
Rb2 Rb 0.0496 0.3788 0.0000
Rb3 Rb 0.6255 0.8850 0.5000
Rb4 Rb 0.1013 0.8987 0.0000
Rb5 Rb 0.5745 0.4255 0.0000
Rb6 Rb 0.8952 0.1048 0.7090
Rb7 Rb 0.8068 0.5279 0.6685
Rb8 Rb 0.3369 0.6631 0.7601
Rb9 Rb 0.4721 0.1932 0.6685
Rb10 Rb 0.4721 0.1932 0.3315
Rb11 Rb 0.8952 0.1048 0.2910
Rb12 Rb 0.8068 0.5279 0.3315
Rb13 Rb 0.1150 0.3745 0.5000
Pt1 Pt 0.7605 0.2395 0.5000
Rb14 Rb 0.6212 0.9504 0.0000
# Energy relative to the elements = 0.54 eV/f.u.
# Total magnetization = 0.0 μB per cell